# 1
First-principles (PBE) data for a relaxed TaReAsBr2 crystal, as listed in Alexandria via LeMat-Bulk.

Summary:
Spin magnetization in μB per cell: 2.02
E above lowest polymorph in meV/atom: 602
ΔE_f (raw) in eV per atom: 1.839
VASP energy in eV/atom: -4.620

Cell and atoms, written as extended XYZ:
```
5
Lattice="5.0744 0.0000 0.0000 0.0000 5.2741 0.0000 0.0000 0.0000 5.0744" Properties=species:S:1:pos:R:3 pbc="T T T"
Br 2.5372 0.0000 0.0000
Br 0.0000 0.0000 2.5372
As 0.0000 0.0000 0.0000
Re 2.5372 2.6371 2.5372
Ta 0.0000 2.6371 0.0000
```

# 2
First-principles (PBE) data for a relaxed TaReAsBr2 crystal, as listed in Alexandria via LeMat-Bulk.

Summary:
Spin magnetization in μB per cell: 5.45
E above lowest polymorph in meV/atom: 0
ΔE_f (raw) in eV per atom: 1.237
VASP energy in eV/atom: -5.222

Cell and atoms, written as extended XYZ:
```
5
Lattice="-4.8716 1.3783 0.7097 0.6786 -0.2083 5.0629 1.3996 4.9386 0.0157" Properties=species:S:1:pos:R:3 pbc="T T T"
Br -2.4358 0.6892 0.3548
Br 0.3393 -0.1042 2.5314
Re -1.3968 3.0543 2.8941
Ta 0.0000 0.0000 0.0000
As 0.6998 2.4693 0.0078
```

# 3
First-principles (PBE) data for a relaxed ReTcAsBr2 crystal, as listed in Alexandria via LeMat-Bulk.

Summary:
Spin magnetization in μB per cell: 5.52
E above lowest polymorph in meV/atom: 119
ΔE_f (raw) in eV per atom: 1.442
VASP energy in eV/atom: -4.720

Cell and atoms, written as extended XYZ:
```
5
Lattice="5.1768 0.0000 0.0000 0.0000 5.1768 0.0000 0.0000 0.0000 4.7757" Properties=species:S:1:pos:R:3 pbc="T T T"
Re 2.5884 2.5884 2.3879
Br 0.0000 2.5884 0.0000
Br 2.5884 0.0000 0.0000
Tc 0.0000 0.0000 0.0000
As 0.0000 0.0000 2.3879
```

# 4
First-principles (PBE) data for a relaxed ReTcAsBr2 crystal, as listed in Alexandria via LeMat-Bulk.

Summary:
Spin magnetization in μB per cell: 6.06
E above lowest polymorph in meV/atom: 0
ΔE_f (raw) in eV per atom: 1.322
VASP energy in eV/atom: -4.839

Cell and atoms, written as extended XYZ:
```
5
Lattice="5.1966 0.0000 0.0000 0.0000 5.1966 0.0000 0.0000 0.0000 4.7886" Properties=species:S:1:pos:R:3 pbc="T T T"
Tc 2.5983 2.5983 2.3943
As 0.0000 0.0000 2.3943
Br 2.5983 0.0000 0.0000
Br 0.0000 2.5983 0.0000
Re 0.0000 0.0000 0.0000
```

# 5
First-principles (PBE) data for a relaxed TiReAsBr2 crystal, as listed in Alexandria via LeMat-Bulk.

Summary:
Spin magnetization in μB per cell: 3.02
E above lowest polymorph in meV/atom: 28
ΔE_f (raw) in eV per atom: 0.859
VASP energy in eV/atom: -4.809

Cell and atoms, written as extended XYZ:
```
5
Lattice="5.2119 0.0000 0.0000 0.0000 5.2119 0.0000 0.0000 0.0000 4.7523" Properties=species:S:1:pos:R:3 pbc="T T T"
As 0.0000 0.0000 2.3762
Re 0.0000 0.0000 0.0000
Ti 2.6059 2.6059 2.3762
Br 0.0000 2.6059 0.0000
Br 2.6059 0.0000 0.0000
```

# 6
First-principles (PBE) data for a relaxed TiReAsBr2 crystal, as listed in Alexandria via LeMat-Bulk.

Summary:
Spin magnetization in μB per cell: 5.65
E above lowest polymorph in meV/atom: 0
ΔE_f (raw) in eV per atom: 0.831
VASP energy in eV/atom: -4.837

Cell and atoms, written as extended XYZ:
```
5
Lattice="-2.2918 -4.3570 0.2959 0.8496 -0.1170 4.8567 -4.6045 2.4807 0.8653" Properties=species:S:1:pos:R:3 pbc="T T T"
Re -3.0233 -0.9967 3.0090
Br 0.4248 -0.0585 2.4284
Br -1.1459 -2.1785 0.1480
As -2.3022 1.2403 0.4326
Ti 0.0000 0.0000 0.0000
```

# 7
First-principles (PBE) data for a relaxed TlReAs2Br crystal, as listed in Alexandria via LeMat-Bulk.

Summary:
Spin magnetization in μB per cell: 0.00
E above lowest polymorph in meV/atom: 0
ΔE_f (raw) in eV per atom: 0.226
VASP energy in eV/atom: -4.931

Cell and atoms, written as extended XYZ:
```
5
Lattice="4.7817 0.0000 0.0000 0.0000 4.7817 0.0000 0.0000 0.0000 5.7688" Properties=species:S:1:pos:R:3 pbc="T T T"
Br 0.0000 0.0000 2.8844
Re 0.0000 0.0000 0.0000
As 2.3908 0.0000 0.0000
As 0.0000 2.3908 0.0000
Tl 2.3908 2.3908 2.8844
```

# 8
First-principles (PBE) data for a relaxed V2ReAsBr crystal, as listed in Alexandria via LeMat-Bulk.

Summary:
Spin magnetization in μB per cell: 4.87
ΔE_f (raw) in eV per atom: 1.829
VASP energy in eV/atom: -5.572

Cell and atoms, written as extended XYZ:
```
5
Lattice="-1.5481 -4.0987 -0.6418 -0.3019 -0.6638 4.9670 -4.1401 1.5703 -0.0418" Properties=species:S:1:pos:R:3 pbc="T T T"
As -0.1510 -0.3319 2.4835
V -2.0701 0.7851 -0.0209
V -0.7741 -2.0494 -0.3209
Re -2.9951 -1.5961 2.1417
Br 0.0000 0.0000 0.0000
```

# 9
First-principles (PBE) data for a relaxed ReAs2WBr crystal, as listed in Alexandria via LeMat-Bulk.

Summary:
Spin magnetization in μB per cell: 4.25
ΔE_f (raw) in eV per atom: 1.544
VASP energy in eV/atom: -5.730

Cell and atoms, written as extended XYZ:
```
5
Lattice="-0.9747 0.0051 4.6342 0.5259 -4.7048 0.1158 5.1999 0.6081 1.0930" Properties=species:S:1:pos:R:3 pbc="T T T"
As 0.2629 -2.3524 0.0579
As -0.4874 0.0026 2.3171
Br 2.5999 0.3041 0.5465
Re 0.0000 0.0000 0.0000
W 2.3755 -2.0458 2.9215
```

# 10
First-principles (PBE) data for a relaxed ReAs2WBr crystal, as listed in Alexandria via LeMat-Bulk.

Summary:
Spin magnetization in μB per cell: 5.32
ΔE_f (raw) in eV per atom: 1.544
VASP energy in eV/atom: -5.731

Cell and atoms, written as extended XYZ:
```
5
Lattice="4.8847 0.0000 0.0000 0.0000 4.8847 0.0000 0.0000 0.0000 5.1920" Properties=species:S:1:pos:R:3 pbc="T T T"
As 2.4424 0.0000 0.0000
As 0.0000 2.4424 0.0000
W 0.0000 0.0000 0.0000
Re 2.4424 2.4424 2.5960
Br 0.0000 0.0000 2.5960
```

# 11
First-principles (PBE) data for a relaxed YReAsBr2 crystal, as listed in Alexandria via LeMat-Bulk.

Summary:
Spin magnetization in μB per cell: 0.00
E above lowest polymorph in meV/atom: 0
ΔE_f (raw) in eV per atom: 0.278
VASP energy in eV/atom: -5.103

Cell and atoms, written as extended XYZ:
```
5
Lattice="5.1447 0.0000 0.0000 0.0000 5.1447 0.0000 0.0000 0.0000 4.7795" Properties=species:S:1:pos:R:3 pbc="T T T"
Re 0.0000 0.0000 0.0000
As 0.0000 0.0000 2.3898
Y 2.5723 2.5723 2.3898
Br 0.0000 2.5723 0.0000
Br 2.5723 0.0000 0.0000
```

# 12
First-principles (PBE) data for a relaxed YReAs2Br crystal, as listed in Alexandria via LeMat-Bulk.

Summary:
Spin magnetization in μB per cell: 0.00
E above lowest polymorph in meV/atom: 0
ΔE_f (raw) in eV per atom: 0.144
VASP energy in eV/atom: -5.833

Cell and atoms, written as extended XYZ:
```
5
Lattice="-0.0138 2.1143 4.2979 0.2494 -4.2917 2.1121 5.2834 0.2539 -0.1079" Properties=species:S:1:pos:R:3 pbc="T T T"
Br 2.6417 0.1270 -0.0540
As 0.1247 -2.1459 1.0561
As -0.0069 1.0572 2.1489
Re 0.0000 0.0000 0.0000
Y 2.7595 -0.9618 3.1510
```

# 13
First-principles (PBE) data for a relaxed YReAs2Br crystal, as listed in Alexandria via LeMat-Bulk.

Summary:
Spin magnetization in μB per cell: 4.01
E above lowest polymorph in meV/atom: 926
ΔE_f (raw) in eV per atom: 1.070
VASP energy in eV/atom: -4.907

Cell and atoms, written as extended XYZ:
```
5
Lattice="5.5093 0.0000 0.0000 0.0000 5.5093 0.0000 0.0000 0.0000 5.3270" Properties=species:S:1:pos:R:3 pbc="T T T"
Br 0.0000 0.0000 2.6635
As 0.0000 2.7546 0.0000
As 2.7546 0.0000 0.0000
Y 0.0000 0.0000 0.0000
Re 2.7546 2.7546 2.6635
```

# 14
First-principles (PBE) data for a relaxed YReAsBr2 crystal, as listed in Alexandria via LeMat-Bulk.

Summary:
Spin magnetization in μB per cell: 4.97
E above lowest polymorph in meV/atom: 271
ΔE_f (raw) in eV per atom: 0.549
VASP energy in eV/atom: -4.832

Cell and atoms, written as extended XYZ:
```
5
Lattice="5.3839 0.0000 0.0000 0.0000 5.3839 0.0000 0.0000 0.0000 5.8319" Properties=species:S:1:pos:R:3 pbc="T T T"
Br 2.6920 0.0000 0.0000
Br 0.0000 2.6920 0.0000
Y 0.0000 0.0000 0.0000
Re 2.6920 2.6920 2.9160
As 0.0000 0.0000 2.9160
```

# 15
First-principles (PBE) data for a relaxed ZnReAsBr2 crystal, as listed in Alexandria via LeMat-Bulk.

Summary:
Spin magnetization in μB per cell: 4.11
E above lowest polymorph in meV/atom: 639
ΔE_f (raw) in eV per atom: 1.179
VASP energy in eV/atom: -3.165

Cell and atoms, written as extended XYZ:
```
5
Lattice="-3.2474 -0.6318 3.7081 3.1402 -3.1523 2.2129 2.2038 4.0326 2.6171" Properties=species:S:1:pos:R:3 pbc="T T T"
Br 1.5701 -1.5762 1.1065
Br -1.6237 -0.3159 1.8541
Re 1.0483 0.1242 4.2691
Zn 0.0000 0.0000 0.0000
As 1.1019 2.0163 1.3085
```

# 16
First-principles (PBE) data for a relaxed ZnReAsBr2 crystal, as listed in Alexandria via LeMat-Bulk.

Summary:
Spin magnetization in μB per cell: 1.43
E above lowest polymorph in meV/atom: 0
ΔE_f (raw) in eV per atom: 0.540
VASP energy in eV/atom: -3.804

Cell and atoms, written as extended XYZ:
```
5
Lattice="-3.0189 2.2392 -3.6618 -3.0744 -4.2521 -0.0655 -2.7367 1.9258 3.4339" Properties=species:S:1:pos:R:3 pbc="T T T"
As -1.3684 0.9629 1.7170
Zn -4.4150 -0.0435 -0.1467
Br -1.5095 1.1196 -1.8309
Br -1.5372 -2.1260 -0.0328
Re 0.0000 0.0000 0.0000
```

# 17
First-principles (PBE) data for a relaxed ZrReAsBr2 crystal, as listed in Alexandria via LeMat-Bulk.

Summary:
Spin magnetization in μB per cell: 5.53
E above lowest polymorph in meV/atom: 0
ΔE_f (raw) in eV per atom: 0.796
VASP energy in eV/atom: -5.002

Cell and atoms, written as extended XYZ:
```
5
Lattice="5.2448 0.0000 0.0000 0.0000 5.2448 0.0000 0.0000 0.0000 5.3926" Properties=species:S:1:pos:R:3 pbc="T T T"
Re 2.6224 2.6224 2.6963
Br 0.0000 2.6224 0.0000
Br 2.6224 0.0000 0.0000
Zr 0.0000 0.0000 0.0000
As 0.0000 0.0000 2.6963
```

# 18
First-principles (PBE) data for a relaxed ZrReAsBr2 crystal, as listed in Alexandria via LeMat-Bulk.

Summary:
Spin magnetization in μB per cell: 1.49
E above lowest polymorph in meV/atom: 49
ΔE_f (raw) in eV per atom: 0.846
VASP energy in eV/atom: -4.953

Cell and atoms, written as extended XYZ:
```
5
Lattice="5.1202 0.0000 0.0000 0.0000 5.1202 0.0000 0.0000 0.0000 4.7655" Properties=species:S:1:pos:R:3 pbc="T T T"
Re 0.0000 0.0000 0.0000
Br 2.5601 0.0000 0.0000
Br 0.0000 2.5601 0.0000
As 0.0000 0.0000 2.3827
Zr 2.5601 2.5601 2.3827
```

# 19
First-principles (PBE) data for a relaxed AsRh2Br crystal, as listed in Alexandria via LeMat-Bulk.

Summary:
Spin magnetization in μB per cell: 0.00
E above lowest polymorph in meV/atom: 824
ΔE_f (raw) in eV per atom: 0.632
VASP energy in eV/atom: -4.624

Cell and atoms, written as extended XYZ:
```
4
Lattice="-2.4221 -0.6962 3.8183 1.7113 -2.6011 3.3521 1.3288 1.9207 3.9340" Properties=species:S:1:pos:R:3 pbc="T T T"
Rh 0.0000 0.0000 0.0000
Rh 0.1545 -0.3442 2.7761
Br 0.4635 -1.0325 8.3283
As 0.3090 -0.6883 5.5522
```

# 20
First-principles (PBE) data for a relaxed AsRh2Br crystal, as listed in Alexandria via LeMat-Bulk.

Summary:
Spin magnetization in μB per cell: 0.00
E above lowest polymorph in meV/atom: 533
ΔE_f (raw) in eV per atom: 0.341
VASP energy in eV/atom: -4.915

Cell and atoms, written as extended XYZ:
```
4
Lattice="0.0340 -3.1838 3.3378 3.4765 -0.4194 -2.9374 4.1138 0.6532 1.9525" Properties=species:S:1:pos:R:3 pbc="T T T"
Rh 0.0000 0.0000 0.0000
Rh 2.0739 -1.2653 2.6451
Br 1.7553 -1.8016 0.2002
As 3.7952 0.1169 -0.4925
```